Entry 1:
A geometry-optimized YMgNi5 structure, computed with PBE.

Values from the calculation:
DFT total energy ... -156.264 eV per cell
ΔH_f (0 K) ... -0.3001 eV per atom

abc: 4.820 8.051 10.213
angles: 90.00 90.00 90.00
Site moments in Bohr magnetons follow the coordinates.
Sites, in units of the cell vectors:
Ni 0.250 0.454 0.394  0.02
Ni 0.998 0.931 0.311  0.06
Ni 0.750 0.312 0.759  0.07
Ni 0.502 0.431 0.189  0.06
Ni 0.998 0.431 0.189  0.06
Ni 0.498 0.569 0.811  0.06
Ni 0.750 0.812 0.741  0.07
Ni 0.750 0.917 0.516  0.04
Ni 0.250 0.583 0.016  0.04
Ni 0.502 0.931 0.311  0.06
Ni 0.002 0.569 0.811  0.06
Ni 0.750 0.546 0.606  0.02
Ni 0.498 0.069 0.689  0.06
Ni 0.250 0.688 0.241  0.07
Ni 0.250 0.188 0.259  0.07
Ni 0.002 0.069 0.689  0.06
Ni 0.250 0.954 0.106  0.02
Ni 0.750 0.046 0.894  0.02
Ni 0.250 0.083 0.484  0.04
Ni 0.750 0.417 0.984  0.04
Y 0.250 0.748 0.560  -0.01
Y 0.750 0.252 0.440  -0.01
Y 0.250 0.248 0.940  -0.01
Y 0.750 0.752 0.060  -0.01
Mg 0.750 0.137 0.139  0.00
Mg 0.750 0.637 0.361  0.00
Mg 0.250 0.863 0.861  0.00
Mg 0.250 0.363 0.639  0.00

***

Entry 2:
A geometry-optimized La6CeTl5 structure, computed with PBE.

Values from the calculation:
DFT total energy ... -49.493 eV per cell
ΔH_f (0 K) ... -0.1803 eV per atom
Energy above the lowest structure with this stoichiometry ... 131 meV per atom

abc: 11.338 6.289 6.317
angles: 60.15 84.92 79.76
Site moments in Bohr magnetons follow the coordinates.
Sites, in units of the cell vectors:
Ce 0.000 0.000 0.000  0.98
La 0.744 0.448 0.639  0.00
La 0.256 0.552 0.361  0.00
La 0.245 0.277 0.000  0.01
La 0.744 0.087 0.361  0.00
La 0.755 0.723 0.000  0.01
La 0.256 0.913 0.639  0.00
Tl 0.000 0.328 0.345  0.00
Tl 0.500 0.155 0.689  0.00
Tl 0.500 0.500 0.000  0.00
Tl 0.500 0.845 0.311  0.00
Tl 0.000 0.672 0.655  0.00

***

Entry 3:
A geometry-optimized LiCeErS3 structure, computed with PBE.

Values from the calculation:
DFT total energy ... -71.310 eV per cell
Formation energy without anion corrections ... -1.81 eV per atom

abc: 3.855 8.066 8.468
angles: 103.38 90.00 90.00
Site moments in Bohr magnetons follow the coordinates.
Sites, in units of the cell vectors:
S 0.750 0.900 0.136  -0.01
S 0.250 0.100 0.864  -0.01
S 0.250 0.567 0.830  -0.01
S 0.750 0.217 0.502  -0.01
S 0.750 0.433 0.170  -0.01
S 0.250 0.783 0.498  -0.01
Li 0.250 0.088 0.584  0.00
Li 0.750 0.912 0.416  0.00
Er 0.250 0.666 0.162  0.07
Er 0.750 0.334 0.838  0.07
Ce 0.750 0.814 0.778  1.05
Ce 0.250 0.186 0.222  1.05

***

Entry 4:
A geometry-optimized KScCu2Cl structure, computed with PBE.

Values from the calculation:
DFT total energy ... -15.285 eV per cell
Formation energy without anion corrections ... 0.44 eV per atom

abc: 5.183 4.704 5.183
angles: 90.00 90.00 90.00
Sites, in units of the cell vectors:
Cl 0.000 0.000 0.000
K 0.500 0.500 0.500
Sc 0.000 0.500 0.000
Cu 0.500 0.000 0.000
Cu 0.000 0.000 0.500

***

Entry 5:
A geometry-optimized SrErSnPb structure, computed with PBE.

Values from the calculation:
DFT total energy ... -15.674 eV per cell
ΔH_f (0 K) ... -0.4295 eV per atom

abc: 5.556 5.556 5.556
angles: 60.00 60.00 60.00
Sites, in units of the cell vectors:
Er 0.000 0.000 0.000
Sn 0.250 0.250 0.250
Sr 0.500 0.500 0.500
Pb 0.750 0.750 0.750

***

Entry 6:
A geometry-optimized ZrScRe2 structure, computed with PBE.

Values from the calculation:
DFT total energy ... -40.409 eV per cell
ΔH_f (0 K) ... -0.1584 eV per atom

abc: 5.551 5.551 5.551
angles: 146.25 130.72 61.07
Sites, in units of the cell vectors:
Zr 0.762 0.262 0.500
Re 0.233 0.733 0.500
Re 0.015 0.015 0.000
Sc 0.490 0.490 0.000

***

Entry 7:
A geometry-optimized PrPaPb2S6 structure, computed with PBE.

Values from the calculation:
DFT total energy ... -58.978 eV per cell
Formation energy without anion corrections ... -1.25 eV per atom

abc: 7.286 7.286 7.531
angles: 61.07 61.07 60.00
Sites, in units of the cell vectors:
S 0.584 0.190 0.255
S 0.441 0.680 0.767
S 0.680 0.113 0.767
S 0.113 0.441 0.767
S 0.970 0.584 0.255
S 0.190 0.970 0.255
Pb 0.525 0.525 0.424
Pb 0.021 0.021 0.936
Pa 0.321 0.321 0.037
Pr 0.816 0.816 0.551

***

Entry 8:
A geometry-optimized CaIn2Pb structure, computed with PBE.

Values from the calculation:
DFT total energy ... -12.152 eV per cell
ΔH_f (0 K) ... -0.2412 eV per atom

abc: 3.659 5.561 6.499
angles: 113.73 106.35 90.00
Sites, in units of the cell vectors:
In 0.254 0.254 0.508
In 0.746 0.746 0.492
Pb 0.000 0.500 0.000
Ca 0.500 0.000 0.000